DFT (GGA-PBE) results for a relaxed structure of Sb2TeAuC.

abc: 4.758 4.758 4.799
angles: 90.00 90.00 90.00
Atoms (fractional coordinates):
1 Sb 0.000 0.500 0.000
2 Sb 0.500 0.000 0.000
3 Te 0.000 0.000 0.500
4 Au 0.500 0.500 0.500
5 C 0.000 0.000 0.000

Results
Space-group type: P4/mmm
Relative energy among the computed polymorphs (meV/atom): 39
Total energy (eV/atom): -3.799
Raw formation energy (eV/f.u.): 4.9
N(E_F) (states/eV per atom): 0.4787